First-principles (PBE) data for crystalline NiPb2Se at its relaxed geometry, as listed in Alexandria.

```
NiPb2Se
1.0
-1.309 1.678 2.690
-1.228 -2.951 1.244
6.915 -1.156 4.086
Ni Pb Se
1 2 1
direct
0.500 0.500 0.656
0.000 0.000 0.958
0.500 0.500 0.293
0.000 0.000 0.593
```

ΔE_f (raw) ... 8.4 meV/atom
Total magnetic moment ... 0.00 μB/cell
Symmetry ... P4mm